# CoAsSe2O | Alexandria via LeMat-Bulk | PBE with a Hubbard U | relaxed
# **V**: 83 Å³/cell
# **Space-group type**: P4/mmm, No. 123
# **Energy**: -3.697 eV per atom
data_CoAsSe2O
_symmetry_space_group_name_H-M 'P 1'
_symmetry_Int_Tables_number 1
_symmetry_space_group_name_Hall 'P 1'
_cell_length_a 4.4090
_cell_length_b 4.4090
_cell_length_c 4.2750
_cell_angle_alpha 90.00
_cell_angle_beta 90.00
_cell_angle_gamma 90.00
loop_
_atom_site_label
_atom_site_fract_x
_atom_site_fract_y
_atom_site_fract_z
_atom_site_occupancy
Co1 0.0000 0.0000 0.0000 1
As1 0.5000 0.5000 0.0000 1
Se1 0.0000 0.5000 0.5000 1
Se2 0.5000 0.0000 0.5000 1
O1 0.5000 0.5000 0.5000 1